# LiCaTbNi, relaxed, DFT GGA-PBE
# Size of the total moment   0.000 μB per formula unit
# Energy relative to the elements   -28.4 meV/atom
data_LiCaTbNi
_chemical_formula_sum 'Li1 Ca1 Tb1 Ni1'
_space_group_name_H-M_alt 'P 1'
_space_group_IT_number 1
_space_group_name_Hall 'P 1'
_cell_length_a 4.9838
_cell_length_b 4.9838
_cell_length_c 4.9838
_cell_angle_alpha 60.00
_cell_angle_beta 60.00
_cell_angle_gamma 60.00
loop_
_atom_site_label
_atom_site_fract_x
_atom_site_fract_y
_atom_site_fract_z
Li1 0.0000 0.0000 0.0000
Ca1 0.7500 0.7500 0.7500
Tb1 0.2500 0.2500 0.2500
Ni1 0.5000 0.5000 0.5000

# Nd8Cd2Ru, relaxed, DFT GGA-PBE
# Size of the total moment   0.000 μB per formula unit
# Energy relative to the elements   -134.4 meV/atom
data_Nd8Cd2Ru
_chemical_formula_sum 'Nd8 Cd2 Ru1'
_space_group_name_H-M_alt 'P 1'
_space_group_IT_number 1
_space_group_name_Hall 'P 1'
_cell_length_a 9.3942
_cell_length_b 9.3942
_cell_length_c 7.1351
_cell_angle_alpha 108.69
_cell_angle_beta 108.69
_cell_angle_gamma 34.50
loop_
_atom_site_label
_atom_site_fract_x
_atom_site_fract_y
_atom_site_fract_z
Nd1 0.0183 0.0183 0.2841
Nd2 0.1980 0.1980 0.7725
Nd3 0.3505 0.3505 0.5598
Nd4 0.4061 0.4061 0.0865
Nd5 0.5939 0.5939 0.9135
Nd6 0.6495 0.6495 0.4402
Nd7 0.8020 0.8020 0.2275
Nd8 0.9817 0.9817 0.7159
Cd1 0.1831 0.1831 0.2004
Cd2 0.8169 0.8169 0.7996
Ru1 0.5000 0.5000 0.5000

# AcScSn2, relaxed, DFT GGA-PBE
# Size of the total moment   0.000 μB per formula unit
# Energy relative to the elements   -627.6 meV/atom
data_AcScSn2
_chemical_formula_sum 'Ac4 Sc4 Sn8'
_space_group_name_H-M_alt 'P 1'
_space_group_IT_number 1
_space_group_name_Hall 'P 1'
_cell_length_a 8.8872
_cell_length_b 4.4756
_cell_length_c 12.1073
_cell_angle_alpha 90.00
_cell_angle_beta 90.00
_cell_angle_gamma 90.00
loop_
_atom_site_label
_atom_site_fract_x
_atom_site_fract_y
_atom_site_fract_z
Ac1 0.1333 0.2500 0.1395
Ac2 0.3667 0.7500 0.6395
Ac3 0.6333 0.2500 0.3605
Ac4 0.8667 0.7500 0.8605
Sc1 0.0179 0.7500 0.3984
Sc2 0.4821 0.2500 0.8984
Sc3 0.5179 0.7500 0.1016
Sc4 0.9821 0.2500 0.6016
Sn1 0.1581 0.2500 0.8031
Sn2 0.2364 0.2500 0.4492
Sn3 0.2636 0.7500 0.9492
Sn4 0.3419 0.7500 0.3031
Sn5 0.6581 0.2500 0.6969
Sn6 0.7364 0.2500 0.0508
Sn7 0.7636 0.7500 0.5508
Sn8 0.8419 0.7500 0.1969

# Sm2Y3HoAs6, relaxed, DFT GGA-PBE
# Size of the total moment   0.000 μB per formula unit
# Energy relative to the elements   -1539.6 meV/atom
data_Sm2Y3HoAs6
_chemical_formula_sum 'Sm2 Y3 Ho1 As6'
_space_group_name_H-M_alt 'P 1'
_space_group_IT_number 1
_space_group_name_Hall 'P 1'
_cell_length_a 9.2795
_cell_length_b 9.2795
_cell_length_c 8.2990
_cell_angle_alpha 102.90
_cell_angle_beta 102.90
_cell_angle_gamma 25.86
loop_
_atom_site_label
_atom_site_fract_x
_atom_site_fract_y
_atom_site_fract_z
Sm1 0.1660 0.1660 0.3323
Sm2 0.8340 0.8340 0.6677
Y1 0.1671 0.1671 0.8337
Y2 0.5000 0.5000 0.5000
Y3 0.8329 0.8329 0.1663
Ho1 0.5000 0.5000 0.0000
As1 0.0015 0.0015 0.7523
As2 0.3345 0.3345 0.4138
As3 0.3341 0.3341 0.9209
As4 0.6659 0.6659 0.0791
As5 0.6655 0.6655 0.5862
As6 0.9985 0.9985 0.2477

# HgGeBi, relaxed, DFT GGA-PBE
# Size of the total moment   0.000 μB per formula unit
# Energy relative to the elements   179.2 meV/atom
# Energy above the most stable polymorph in this dataset   0.055 eV per atom
data_HgGeBi
_chemical_formula_sum 'Hg1 Ge1 Bi1'
_space_group_name_H-M_alt 'P 1'
_space_group_IT_number 1
_space_group_name_Hall 'P 1'
_cell_length_a 3.3577
_cell_length_b 4.3321
_cell_length_c 6.6821
_cell_angle_alpha 102.34
_cell_angle_beta 96.36
_cell_angle_gamma 111.88
loop_
_atom_site_label
_atom_site_fract_x
_atom_site_fract_y
_atom_site_fract_z
Hg1 0.0000 0.0000 0.0000
Ge1 0.7008 0.3545 0.6827
Bi1 0.2672 0.6395 0.4056

# K3Se2O8, relaxed, DFT GGA-PBE
# Size of the total moment   1.133 μB per formula unit
# Uncorrected formation energy   -1.16 eV/atom
# Energy above the most stable polymorph in this dataset   0.011 eV per atom
data_K3Se2O8
_chemical_formula_sum 'K3 Se2 O8'
_space_group_name_H-M_alt 'P 1'
_space_group_IT_number 1
_space_group_name_Hall 'P 1'
_cell_length_a 8.0425
_cell_length_b 8.0425
_cell_length_c 8.0425
_cell_angle_alpha 43.71
_cell_angle_beta 43.71
_cell_angle_gamma 43.71
loop_
_atom_site_label
_atom_site_fract_x
_atom_site_fract_y
_atom_site_fract_z
K1 0.0000 0.0000 0.0000
K2 0.2033 0.2033 0.2033
K3 0.7967 0.7967 0.7967
Se1 0.4069 0.4069 0.4069
Se2 0.5931 0.5931 0.5931
O1 0.2623 0.7213 0.7213
O2 0.2787 0.2787 0.7377
O3 0.2787 0.7377 0.2787
O4 0.3299 0.3299 0.3299
O5 0.6701 0.6701 0.6701
O6 0.7213 0.2623 0.7213
O7 0.7213 0.7213 0.2623
O8 0.7377 0.2787 0.2787

# RbTe3F, relaxed, DFT GGA-PBE
# Size of the total moment   0.000 μB per formula unit
# Uncorrected formation energy   0.89 eV/atom
# Energy above the most stable polymorph in this dataset   1.296 eV per atom
data_RbTe3F
_chemical_formula_sum 'Rb1 Te3 F1'
_space_group_name_H-M_alt 'P 1'
_space_group_IT_number 1
_space_group_name_Hall 'P 1'
_cell_length_a 6.1728
_cell_length_b 6.1728
_cell_length_c 6.1728
_cell_angle_alpha 90.00
_cell_angle_beta 90.00
_cell_angle_gamma 90.00
loop_
_atom_site_label
_atom_site_fract_x
_atom_site_fract_y
_atom_site_fract_z
Rb1 0.0000 0.0000 0.0000
Te1 0.0000 0.0000 0.5000
Te2 0.0000 0.5000 0.0000
Te3 0.5000 0.0000 0.0000
F1 0.5000 0.5000 0.5000

# Li2YMg, relaxed, DFT GGA-PBE
# Size of the total moment   0.264 μB per formula unit
# Energy relative to the elements   16.9 meV/atom
data_Li2YMg
_chemical_formula_sum 'Li2 Y1 Mg1'
_space_group_name_H-M_alt 'P 1'
_space_group_IT_number 1
_space_group_name_Hall 'P 1'
_cell_length_a 3.5501
_cell_length_b 3.5501
_cell_length_c 7.5093
_cell_angle_alpha 90.00
_cell_angle_beta 90.00
_cell_angle_gamma 90.00
loop_
_atom_site_label
_atom_site_fract_x
_atom_site_fract_y
_atom_site_fract_z
Li1 0.0000 0.0000 0.0000
Li2 0.5000 0.5000 0.2009
Y1 0.5000 0.5000 0.7117
Mg1 0.0000 0.0000 0.4232

# CaGaPb2, relaxed, DFT GGA-PBE
# Size of the total moment   0.000 μB per formula unit
# Energy relative to the elements   -202.0 meV/atom
# Energy above the most stable polymorph in this dataset   0.071 eV per atom
data_CaGaPb2
_chemical_formula_sum 'Ca1 Ga1 Pb2'
_space_group_name_H-M_alt 'P 1'
_space_group_IT_number 1
_space_group_name_Hall 'P 1'
_cell_length_a 3.9577
_cell_length_b 3.9577
_cell_length_c 7.1268
_cell_angle_alpha 90.00
_cell_angle_beta 90.00
_cell_angle_gamma 90.00
loop_
_atom_site_label
_atom_site_fract_x
_atom_site_fract_y
_atom_site_fract_z
Ca1 0.0000 0.0000 0.0000
Ga1 0.0000 0.0000 0.5000
Pb1 0.5000 0.5000 0.2748
Pb2 0.5000 0.5000 0.7252

# Tm2RhSe, relaxed, DFT GGA-PBE
# Size of the total moment   0.000 μB per formula unit
# Uncorrected formation energy   -1.21 eV/atom
# Energy above the most stable polymorph in this dataset   0.029 eV per atom
data_Tm2RhSe
_chemical_formula_sum 'Tm2 Rh1 Se1'
_space_group_name_H-M_alt 'P 1'
_space_group_IT_number 1
_space_group_name_Hall 'P 1'
_cell_length_a 7.3874
_cell_length_b 7.3874
_cell_length_c 7.3874
_cell_angle_alpha 30.75
_cell_angle_beta 30.75
_cell_angle_gamma 30.75
loop_
_atom_site_label
_atom_site_fract_x
_atom_site_fract_y
_atom_site_fract_z
Tm1 0.0000 0.0000 0.0000
Tm2 0.1853 0.1853 0.1853
Rh1 0.5938 0.5938 0.5938
Se1 0.7593 0.7593 0.7593

# YTmAg2, relaxed, DFT GGA-PBE
# Size of the total moment   0.000 μB per formula unit
# Energy relative to the elements   -329.1 meV/atom
# Energy above the most stable polymorph in this dataset   0.005 eV per atom
data_YTmAg2
_chemical_formula_sum 'Y1 Tm1 Ag2'
_space_group_name_H-M_alt 'P 1'
_space_group_IT_number 1
_space_group_name_Hall 'P 1'
_cell_length_a 5.1172
_cell_length_b 5.1172
_cell_length_c 5.1172
_cell_angle_alpha 60.00
_cell_angle_beta 60.00
_cell_angle_gamma 60.00
loop_
_atom_site_label
_atom_site_fract_x
_atom_site_fract_y
_atom_site_fract_z
Y1 0.0000 0.0000 0.0000
Tm1 0.5000 0.5000 0.5000
Ag1 0.2500 0.2500 0.2500
Ag2 0.7500 0.7500 0.7500

# LiIn2Au, relaxed, DFT GGA-PBE
# Size of the total moment   0.000 μB per formula unit
# Energy relative to the elements   -155.4 meV/atom
data_LiIn2Au
_chemical_formula_sum 'Li1 In2 Au1'
_space_group_name_H-M_alt 'P 1'
_space_group_IT_number 1
_space_group_name_Hall 'P 1'
_cell_length_a 7.4037
_cell_length_b 7.4037
_cell_length_c 7.4037
_cell_angle_alpha 30.91
_cell_angle_beta 30.91
_cell_angle_gamma 30.91
loop_
_atom_site_label
_atom_site_fract_x
_atom_site_fract_y
_atom_site_fract_z
Li1 0.0000 0.0000 0.0000
In1 0.2479 0.2479 0.2479
In2 0.4233 0.4233 0.4233
Au1 0.8362 0.8362 0.8362

Which of these has the highest size of the total moment?
K3Se2O8